Record 1
First-principles (PBE) data for Cr2FeAsH after structural relaxation, as listed in Alexandria via LeMat-Bulk.

Results
uncorrected energy = -35.6 eV/cell

Lattice parameters (Å, degrees): 3.781 3.781 3.630 90.00 90.00 90.00
Element x y z (fractional)
Cr 0.000 0.500 0.000
Cr 0.500 0.000 0.000
Fe 0.000 0.000 0.500
As 0.500 0.500 0.500
H 0.000 0.000 0.000



Record 2
First-principles (PBE) data for MnCrFeAs after structural relaxation, as listed in Alexandria via LeMat-Bulk.

Results
ΔH_f (0 K) = -45 meV per atom

Lattice parameters (Å, degrees): 5.766 5.766 5.766 90.00 90.00 90.00
Element x y z (fractional)
Mn 0.000 0.000 0.000
Mn 0.000 0.500 0.500
Mn 0.500 0.000 0.500
Mn 0.500 0.500 0.000
Cr 0.250 0.250 0.250
Cr 0.250 0.750 0.750
Cr 0.750 0.250 0.750
Cr 0.750 0.750 0.250
Fe 0.250 0.250 0.750
Fe 0.250 0.750 0.250
Fe 0.750 0.250 0.250
Fe 0.750 0.750 0.750
As 0.000 0.000 0.500
As 0.000 0.500 0.000
As 0.500 0.000 0.000
As 0.500 0.500 0.500



Record 3
First-principles (PBE) data for CrFeMo2As after structural relaxation, as listed in Alexandria via LeMat-Bulk.

Results
ΔH_f (0 K) = 1216 meV per atom

Lattice parameters (Å, degrees): 4.493 4.493 4.300 90.00 90.00 90.00
Element x y z (fractional)
Cr 0.000 0.000 0.000
Fe 0.000 0.000 0.500
Mo 0.000 0.500 0.000
Mo 0.500 0.000 0.000
As 0.500 0.500 0.500



Record 4
First-principles (PBE) data for CrFe2AsN after structural relaxation, as listed in Alexandria via LeMat-Bulk.

Results
formation energy from raw total energies = -49 meV/atom

Lattice parameters (Å, degrees): 3.848 3.848 3.826 90.00 90.00 90.00
Element x y z (fractional)
Cr 0.000 0.000 0.000
Fe 0.000 0.500 0.500
Fe 0.500 0.000 0.500
As 0.500 0.500 0.000
N 0.000 0.000 0.500



| no. | ρ (kg/m3) |
| --- | --- |
| 1 | 7546 |
| 2 | 8234 |
| 3 | 7168 |
| 4 | 7403 |